# 1
The following is a GGA-PBE calculation of a relaxed Ho6CoBi3 crystal, from the Alexandria database.

Cell and atoms, written as extended XYZ:
```
20
Lattice="-2.231 -7.181 -0.246 0.856 0.048 -9.152 8.324 -2.683 2.829" Properties=species:S:1:pos:R:3 pbc="T T T"
Ho 5.404 -2.917 -4.723
Ho 4.885 -6.726 -3.888
Ho 7.538 -3.571 -1.050
Ho 2.560 -5.749 -7.369
Ho 7.703 -4.408 2.647
Ho 4.923 -7.146 -0.249
Ho 2.188 -2.148 -6.302
Ho -0.728 -5.324 -9.213
Ho 4.788 -2.781 0.844
Ho -0.190 -4.960 -5.475
Ho 2.387 -2.051 -2.645
Ho 1.868 -5.860 -1.810
Co 5.101 -9.424 0.959
Co 0.776 -3.844 -7.646
Bi 5.568 -5.414 -6.613
Bi 6.104 -9.608 -4.087
Bi 4.576 -4.259 -1.956
Bi 1.845 -7.259 -4.672
Bi 0.283 -7.937 -0.077
Bi -0.253 -3.743 -2.604
```

crystal system: orthorhombic
ΔE_f: -0.3138 eV/atom

---

# 2
The following is a GGA-PBE calculation of a relaxed GaPH4NO5 crystal, from the Alexandria database.

Cell and atoms, written as extended XYZ:
```
24
Lattice="6.213 0.000 0.000 0.000 4.657 0.131 0.000 1.499 8.365" Properties=species:S:1:pos:R:3 pbc="T T T"
Ga 3.107 0.000 0.000
Ga 0.000 0.000 0.000
P 4.660 2.174 1.764
P 1.553 3.982 6.732
H 5.481 4.593 5.538
H 2.374 1.563 2.959
H 0.732 1.563 2.959
H 3.839 4.593 5.538
H 4.660 3.789 4.266
H 1.553 2.367 4.230
H 4.660 0.859 4.228
H 1.553 5.297 4.268
N 4.660 4.622 4.908
N 1.553 1.534 3.589
O 4.660 2.150 7.325
O 1.553 4.006 1.171
O 4.660 2.363 3.277
O 1.553 3.793 5.220
O 3.373 1.406 1.335
O 0.267 4.750 7.161
O 2.840 4.750 7.161
O 5.946 1.406 1.335
O 4.660 3.567 1.024
O 1.553 2.589 7.472
```

crystal system: monoclinic

---

Number 1: volume 619.62 Å³ per cell, electronic total energy -98.71 eV per cell. Number 2: volume 240.85 Å³ per cell, electronic total energy -139.89 eV per cell.